Entry 1:
10
Lattice="7.363 0.000 0.000 0.000 7.363 0.000 0.000 0.000 2.720" Properties=species:S:1:pos:R:3 comment="NbCr2Pt2 (PBE, optimized geometry)" e_above_lowest_polymorph_kcal_per_mol_atoms=0.00 delta_e_f_mev_per_atom=-142 dos_ef_per_ev_fu=5.38 pbc="T T T"
Nb 0.000 0.000 0.000
Nb 3.681 3.681 0.000
Cr 0.825 2.856 0.000
Cr 2.856 6.537 0.000
Cr 4.507 0.825 0.000
Cr 6.537 4.507 0.000
Pt 1.328 5.009 1.360
Pt 2.353 1.328 1.360
Pt 5.009 6.035 1.360
Pt 6.035 2.353 1.360

***

Entry 2:
4
Lattice="4.252 0.000 0.000 0.000 4.252 0.000 0.000 0.000 3.557" Properties=species:S:1:pos:R:3 comment="Nb2CrPt (PBE, optimized geometry)" e_above_lowest_polymorph_kcal_per_mol_atoms=1.30 delta_e_f_mev_per_atom=-167 dos_ef_per_ev_fu=4.18 pbc="T T T"
Nb 0.000 2.126 0.000
Nb 2.126 0.000 0.000
Cr 0.000 0.000 1.779
Pt 2.126 2.126 1.779